Compound: CdAgP2Cl
Source: Alexandria via LeMat-Bulk
Functional: meta-GGA SCAN
Structure: single point on PBEsol structure

a = 4.8965 Å, b = 4.8965 Å, c = 5.1902 Å
α = 90.00°, β = 90.00°, γ = 90.00°
Last column: nearest neighbours and their distance in Å.
Space group P4/mmm (No. 123)
Asymmetric unit:
Cd 0.0000 0.0000 0.0000  4 P 2.45, 2 Cl 2.60
Ag 0.5000 0.5000 0.5000  4 Cl 3.46, 8 P 3.57
P 0.0000 0.5000 0.0000  2 Cd 2.45
Cl 0.0000 0.0000 0.5000  2 Cd 2.60

Output
The raw formation energy comes out at 4.25 eV per formula unit. The volume comes out at 124.44 Å³/cell.